Below is a geometry-optimized SrY2Ta structure, with properties calculated at the PBE level.

Cell and atoms, written as CIF:
```
data_SrY2Ta
_symmetry_space_group_name_H-M 'P 4 m m'
_symmetry_Int_Tables_number 99
_cell_length_a 3.936
_cell_length_b 3.936
_cell_length_c 8.354
_cell_angle_alpha 90.00
_cell_angle_beta 90.00
_cell_angle_gamma 90.00
loop_
_symmetry_equiv_pos_as_xyz
'x,y,z'
'-y,x,z'
'-x,-y,z'
'y,-x,z'
'-x,y,z'
'y,x,z'
'x,-y,z'
'-y,-x,z'
loop_
_atom_site_label
_atom_site_fract_x
_atom_site_fract_y
_atom_site_fract_z
Sr1 0.000 0.000 0.000
Y1 0.000 0.000 0.413
Y2 0.500 0.500 0.649
Ta1 0.500 0.500 0.274
```

Computed properties:
- Fermi-level density of states (states/eV per atom) = 1.687
- calculated formation energy (eV per atom) = 0.559
- mass density (Mg/m³) = 5.73


Below is a geometry-optimized Sc3GeIr structure, with properties calculated at the PBE level.

Cell and atoms, written as CIF:
```
data_Sc3GeIr
_symmetry_space_group_name_H-M 'P m -3 m'
_symmetry_Int_Tables_number 221
_symmetry_space_group_name_Hall '-P 4 2 3'
_cell_length_a 4.910
_cell_length_b 4.910
_cell_length_c 4.910
_cell_angle_alpha 90.00
_cell_angle_beta 90.00
_cell_angle_gamma 90.00
loop_
_atom_site_label
_atom_site_fract_x
_atom_site_fract_y
_atom_site_fract_z
Sc1 0.000 0.000 0.500
Ge1 0.000 0.000 0.000
Ir1 0.500 0.500 0.500
```

Computed properties:
- Fermi-level density of states (states/eV per atom) = 0.882
- calculated formation energy (eV per atom) = 0.237
- mass density (Mg/m³) = 5.61


Below is a geometry-optimized Be2GePt2 structure, with properties calculated at the PBE level.

Cell and atoms, written as CIF:
```
data_Be2GePt2
_symmetry_space_group_name_H-M 'I 4/m m m'
_symmetry_Int_Tables_number 139
_symmetry_space_group_name_Hall '-I 4 2'
_cell_length_a 3.924
_cell_length_b 3.924
_cell_length_c 9.496
_cell_angle_alpha 90.00
_cell_angle_beta 90.00
_cell_angle_gamma 90.00
loop_
_atom_site_label
_atom_site_fract_x
_atom_site_fract_y
_atom_site_fract_z
Be1 0.000 0.000 0.123
Ge1 0.000 0.000 0.500
Pt1 0.000 0.500 0.250
```

Computed properties:
- Fermi-level density of states (states/eV per atom) = 0.371
- calculated formation energy (eV per atom) = -0.170
- mass density (Mg/m³) = 10.92


Below is a geometry-optimized CsBaTe2 structure, with properties calculated at the PBE level.

Cell and atoms, written as CIF:
```
data_CsBaTe2
_symmetry_space_group_name_H-M 'P 4/m m m'
_symmetry_Int_Tables_number 123
_symmetry_space_group_name_Hall '-P 4 2'
_cell_length_a 4.576
_cell_length_b 4.576
_cell_length_c 8.161
_cell_angle_alpha 90.00
_cell_angle_beta 90.00
_cell_angle_gamma 90.00
loop_
_atom_site_label
_atom_site_fract_x
_atom_site_fract_y
_atom_site_fract_z
Cs1 0.000 0.000 0.000
Ba1 0.000 0.000 0.500
Te1 0.500 0.500 0.292
```

Computed properties:
- energy relative to the elements, uncorrected (eV/atom) = -1.184
- Fermi-level density of states (states/eV per atom) = 0.765
- mass density (Mg/m³) = 5.11


Below is a geometry-optimized Ca2ReW structure, with properties calculated at the PBE level.

Cell and atoms, written as CIF:
```
data_Ca2ReW
_symmetry_space_group_name_H-M 'P 4/m m m'
_symmetry_Int_Tables_number 123
_symmetry_space_group_name_Hall '-P 4 2'
_cell_length_a 2.784
_cell_length_b 2.784
_cell_length_c 10.273
_cell_angle_alpha 90.00
_cell_angle_beta 90.00
_cell_angle_gamma 90.00
loop_
_atom_site_label
_atom_site_fract_x
_atom_site_fract_y
_atom_site_fract_z
Ca1 0.000 0.000 0.246
Re1 0.500 0.500 0.000
W1 0.500 0.500 0.500
```

Computed properties:
- Fermi-level density of states (states/eV per atom) = 0.792
- calculated formation energy (eV per atom) = 0.895
- mass density (Mg/m³) = 9.39


Below is a geometry-optimized SbTeCl2 structure, with properties calculated at the PBE level.

Cell and atoms, written as CIF:
```
data_SbTeCl2
_symmetry_space_group_name_H-M 'P 4/m m m'
_symmetry_Int_Tables_number 123
_symmetry_space_group_name_Hall '-P 4 2'
_cell_length_a 4.543
_cell_length_b 4.543
_cell_length_c 4.710
_cell_angle_alpha 90.00
_cell_angle_beta 90.00
_cell_angle_gamma 90.00
loop_
_atom_site_label
_atom_site_fract_x
_atom_site_fract_y
_atom_site_fract_z
Sb1 0.000 0.000 0.000
Te1 0.500 0.500 0.000
Cl1 0.000 0.500 0.500
```

Computed properties:
- energy relative to the elements, uncorrected (eV/atom) = 0.059
- Fermi-level density of states (states/eV per atom) = 0.502
- mass density (Mg/m³) = 5.47